(1)
12
Lattice="4.319 0.000 0.000 -2.160 3.741 0.000 0.000 0.000 15.110" Properties=species:S:1:pos:R:3 comment="ThNiPt, relaxed, DFT PBE-GGA" energy_ev_per_fu=-21.678 magnetic_moment_mub_per_cell=0.00 pbc="T T T"
Th 0.000 0.000 0.000
Th 0.000 0.000 3.777
Th 0.000 0.000 7.555
Th 0.000 0.000 11.332
Ni 0.000 2.494 2.191
Ni 0.000 2.494 5.364
Ni 2.160 1.247 9.746
Ni 2.160 1.247 12.919
Pt 0.000 2.494 9.344
Pt 0.000 2.494 13.320
Pt 2.160 1.247 1.789
Pt 2.160 1.247 5.766

=====

(2)
20
Lattice="7.280 0.000 0.000 0.000 7.280 0.000 0.000 0.000 7.515" Properties=species:S:1:pos:R:3 comment="Th2Ni2Pt, relaxed, DFT PBE-GGA" e_above_lowest_polymorph_mev_per_atom=0 magnetic_moment_mub_per_cell=0.00 pbc="T T T"
Th 1.314 2.326 0.000
Th 1.315 2.327 3.757
Th 2.326 5.967 0.000
Th 2.327 5.966 3.757
Th 4.954 1.315 3.757
Th 4.955 1.314 0.000
Th 5.966 4.954 3.757
Th 5.967 4.955 0.000
Ni 0.889 4.529 1.879
Ni 0.889 4.529 5.636
Ni 2.751 0.889 1.879
Ni 2.751 0.889 5.636
Ni 4.529 6.391 1.879
Ni 4.529 6.391 5.636
Ni 6.391 2.751 1.879
Ni 6.391 2.751 5.636
Pt 0.000 0.000 1.882
Pt 0.000 0.000 5.633
Pt 3.640 3.640 1.875
Pt 3.640 3.640 5.639